# HfTcRh3 | Alexandria | PBE-GGA | relaxed
data_HfTcRh3
_space_group_name_H-M_alt 'P m -3 m'
_space_group_IT_number 221
_space_group_name_Hall '-P 4 2 3'
_cell_length_a 4.6315
_cell_length_b 4.6315
_cell_length_c 4.6315
_cell_angle_alpha 90.00
_cell_angle_beta 90.00
_cell_angle_gamma 90.00
loop_
_atom_site_label
_atom_site_type_symbol
_atom_site_fract_x
_atom_site_fract_y
_atom_site_fract_z
Hf1 Hf 0.0000 0.0000 0.0000
Tc1 Tc 0.5000 0.5000 0.5000
Rh1 Rh 0.0000 0.5000 0.5000
# - formation energy (eV per formula unit) = 4.27
# - energy above the lowest structure with this stoichiometry (meV per atom) = 0.0
# - Fermi-level density of states (states/eV/cell) = 5.8
# - spin magnetization (μB per formula unit) = 0.00